1.
Entry from Alexandria: a relaxed Y2Ga3Cu12Pd crystal (PBE).

Final energy   -76.19 eV for the cell shown
N(E_F)   11.7 states/eV/f.u.
Space-group type   No. 166
Spin magnetization   0.00 μB/f.u.

Unit cell a=12.4600 b=12.4600 c=12.4600 alpha=24.23 beta=24.23 gamma=24.23
Closest atoms and distances in Å follow each position.
Sites, in units of the cell vectors:
Cu 0.8903 0.8903 0.3925  6 Cu 2.47-2.63, 1 Pd 2.59
Ga 0.0000 0.5000 0.0000  4 Cu 2.55, 4 Ga 2.62
Y 0.6429 0.6429 0.6429  6 Cu 2.89, 3 Pd 3.14
Cu 0.8749 0.3963 0.3963  6 Cu 2.47-2.73, 2 Ga 2.55
Cu 0.1251 0.6037 0.6037  6 Cu 2.47-2.73, 2 Ga 2.55
Cu 0.8903 0.3925 0.8903  6 Cu 2.47-2.63, 1 Pd 2.59
Ga 0.0000 0.0000 0.5000  4 Cu 2.55, 4 Ga 2.62
Cu 0.3963 0.8749 0.3963  6 Cu 2.47-2.73, 2 Ga 2.55
Cu 0.6075 0.1097 0.1097  6 Cu 2.47-2.63, 1 Pd 2.59
Cu 0.1097 0.1097 0.6075  6 Cu 2.47-2.63, 1 Pd 2.59
Cu 0.6037 0.6037 0.1251  6 Cu 2.47-2.73, 2 Ga 2.55
Cu 0.3925 0.8903 0.8903  6 Cu 2.47-2.63, 1 Pd 2.59
Ga 0.5000 0.0000 0.0000  4 Cu 2.55, 4 Ga 2.62
Cu 0.6037 0.1251 0.6037  6 Cu 2.47-2.73, 2 Ga 2.55
Cu 0.3963 0.3963 0.8749  6 Cu 2.47-2.73, 2 Ga 2.55
Y 0.3571 0.3571 0.3571  6 Cu 2.89, 3 Pd 3.14
Cu 0.1097 0.6075 0.1097  6 Cu 2.47-2.63, 1 Pd 2.59
Pd 0.0000 0.0000 0.0000  6 Cu 2.59

2.
Entry from Alexandria: a relaxed CaCu4Te3O12 crystal (PBE).

Final energy   -106.56 eV for the cell shown
Energy relative to the elements, uncorrected   -962.7 meV/atom
N(E_F)   4.6 states/eV/f.u.
Space-group type   No. 155
Spin magnetization   0.00 μB/f.u.

Unit cell a=6.8835 b=6.8835 c=6.8835 alpha=107.18 beta=107.18 gamma=107.18
Closest atoms and distances in Å follow each position.
Sites, in units of the cell vectors:
Te 0.0000 0.5687 0.4313  6 O 1.96-2.06
Te 0.5687 0.4313 0.0000  6 O 1.96-2.06
Cu 0.5000 0.8901 0.1099  2 O 1.86
Cu 0.8901 0.1099 0.5000  2 O 1.86
O 0.0971 0.9029 0.5000  2 Te 2.06, 1 Cu 2.29
O 0.9946 0.2689 0.3486  1 Cu 1.86, 1 Te 1.96
Cu 0.5000 0.5000 0.5000  3 O 1.91
O 0.7311 0.0054 0.6514  1 Cu 1.86, 1 Te 1.96
O 0.5000 0.0971 0.9029  2 Te 2.06, 1 Cu 2.29
Ca 0.0000 0.0000 0.0000  6 O 2.58
O 0.2689 0.3486 0.9946  1 Cu 1.86, 1 Te 1.96
Te 0.4313 0.0000 0.5687  6 O 1.96-2.06
O 0.5000 0.3278 0.6722  1 Cu 1.91, 2 Te 2.01
O 0.3486 0.9946 0.2689  1 Cu 1.86, 1 Te 1.96
O 0.0054 0.6514 0.7311  1 Cu 1.86, 1 Te 1.96
Cu 0.1099 0.5000 0.8901  2 O 1.86
O 0.6514 0.7311 0.0054  1 Cu 1.86, 1 Te 1.96
O 0.3278 0.6722 0.5000  1 Cu 1.91, 2 Te 2.01
O 0.9029 0.5000 0.0971  2 Te 2.06, 1 Cu 2.29
O 0.6722 0.5000 0.3278  1 Cu 1.91, 2 Te 2.01

3.
Entry from Alexandria: a relaxed LiSnI2 crystal (PBE).

Final energy   -10.39 eV for the cell shown
Energy relative to the elements, uncorrected   -344.5 meV/atom
N(E_F)   1.8 states/eV/f.u.
ΔE to the lowest computed polymorph   181 meV per atom
Space-group type   No. 225
Spin magnetization   0.00 μB/f.u.

Unit cell a=5.6035 b=5.6035 c=5.6035 alpha=60.00 beta=60.00 gamma=60.00
Closest atoms and distances in Å follow each position.
Sites, in units of the cell vectors:
I 0.2500 0.2500 0.2500  4 Sn 3.43, 4 Li 3.43
Sn 0.5000 0.5000 0.5000  8 I 3.43
I 0.7500 0.7500 0.7500  4 Sn 3.43, 4 Li 3.43
Li 0.0000 0.0000 0.0000  8 I 3.43

4.
Entry from Alexandria: a relaxed CeHo2Bi crystal (PBE).

Final energy   -19.48 eV for the cell shown
N(E_F)   7.6 states/eV/f.u.
ΔE to the lowest computed polymorph   200 meV per atom
Space-group type   No. 160
Spin magnetization   1.35 μB/f.u.

Unit cell a=3.5853 b=3.5853 c=11.1390 alpha=80.74 beta=80.74 gamma=60.00
Closest atoms and distances in Å follow each position.
Sites, in units of the cell vectors:
Ho 0.0796 0.0796 0.7611  3 Bi 3.34, 3 Ce 3.52, 6 Ho 3.59
Bi 0.6667 0.6667 0.0000  6 Ho 3.33-3.34, 6 Bi 3.59
Ho 0.2539 0.2539 0.2382  3 Bi 3.33, 3 Ce 3.54, 6 Ho 3.59
Ce 0.4998 0.4998 0.5007  6 Ho 3.52-3.54, 6 Ce 3.59

> Look up the N(E_F) of the second one.

4.6 states/eV/f.u.

> Which of these has the lowest N(E_F)?

LiSnI2

> Which value of spin magnetization does entry 1 give?

0.00 μB/f.u.

> What is the final energy in the first record?

-76.19 eV for the cell shown